No. 1
FeSi2PdS | PBE | relaxed

Cell: 4.5255 4.9548 4.5255 Å, 90.00 90.00 90.00°
With the nearest neighbours (Å) after each atom.
Positions (direct):
S  0.5000  0.5000  0.5000  4 Fe 3.20, 8 Si 3.36
Si  0.0000  0.0000  0.5000  2 Pd 2.26
Si  0.5000  0.0000  0.0000  2 Pd 2.26
Fe  0.0000  0.5000  0.0000  2 Pd 2.48
Pd  0.0000  0.0000  0.0000  4 Si 2.26, 2 Fe 2.48

No. 2
FeSn2PdS | PBE | relaxed

Cell: 5.2863 4.0672 5.2863 Å, 90.00 90.00 90.00°
With the nearest neighbours (Å) after each atom.
Positions (direct):
S  0.0000  0.0000  0.0000  2 Fe 2.03
Sn  0.0000  0.0000  0.5000  2 S 2.64
Sn  0.5000  0.0000  0.0000  2 S 2.64
Pd  0.5000  0.5000  0.5000  8 Sn 3.33
Fe  0.0000  0.5000  0.0000  2 S 2.03

No. 3
VFe2PdS | PBE | relaxed

Cell: 4.3455 4.3337 4.3455 Å, 90.00 90.00 90.00°
With the nearest neighbours (Å) after each atom.
Positions (direct):
S  0.0000  0.5000  0.0000  2 V 2.17
Fe  0.0000  0.0000  0.5000  2 V 2.17
Fe  0.5000  0.0000  0.0000  2 V 2.17
Pd  0.5000  0.5000  0.5000  8 Fe 3.07, 4 S 3.07
V  0.0000  0.0000  0.0000  2 S 2.17, 4 Fe 2.17

No. 4
ZrFePdS2 | PBE | relaxed

Cell: 4.8875 4.9494 4.8875 Å, 90.00 90.00 90.00°
With the nearest neighbours (Å) after each atom.
Positions (direct):
S  0.0000  0.0000  0.5000  2 Zr 2.44
S  0.5000  0.0000  0.0000  2 Zr 2.44
Zr  0.0000  0.0000  0.0000  4 S 2.44, 2 Fe 2.47
Pd  0.5000  0.5000  0.5000  4 Fe 3.46, 8 S 3.48
Fe  0.0000  0.5000  0.0000  2 Zr 2.47

Total energy? In order: -25.008 -23.746 -31.466 -27.957 eV for the cell shown.
Uncorrected formation energy? In order: 3.62 2.04 3.90 2.50 eV per formula unit.